# 1
Here is a relaxed TeRhAu2 crystal from Alexandria. Energies are from PBE-GGA.

Results
- Formation energy without anion corrections: 103 meV/atom
- Symmetry: Imm2 (44)
- Mass density: 12.599 g/cm3
- Total magnetization: 0.00 μB/f.u.

abc: 6.239 6.239 6.239
angles: 148.58 139.18 52.40
Fractional positions:
Te: 0.688 0.188 0.500
Rh: 0.515 0.515 0.000
Au: 0.983 0.983 0.000
Au: 0.314 0.814 0.500

=====

# 2
Here is a relaxed Te2Rh2Au crystal from Alexandria. Energies are from PBE-GGA.

Results
- Formation energy without anion corrections: -25 meV/atom
- Symmetry: I4/mmm (139)
- Mass density: 9.805 g/cm3
- Total magnetization: 0.00 μB/f.u.
- Offset from the most stable computed form: 0.004 eV per atom

abc: 3.948 3.948 7.675
angles: 75.10 75.10 90.00
Fractional positions:
Rh: 0.750 0.250 0.500
Rh: 0.250 0.750 0.500
Te: 0.371 0.371 0.258
Te: 0.629 0.629 0.742
Au: 0.000 0.000 0.000